A relaxed structure of HfPaCl. Source: Alexandria via LeMat-Bulk, functional PBE-GGA.

The structure in POSCAR format:
```
HfPaCl
1.0
2.8983 -1.6213 0.0000
2.8983 1.6213 0.0000
-2.5491 0.0000 15.3379
Hf Pa Cl
2 2 2
Direct
0.0620 0.0620 0.2567 Hf
0.9380 0.9380 0.7433 Hf
0.3607 0.3607 0.9175 Pa
0.6393 0.6393 0.0825 Pa
0.2161 0.2161 0.6254 Cl
0.7839 0.7839 0.3746 Cl
```

Output
The value obtained for the formation energy from raw total energies is -0.71 eV/atom. The calculated volume is 144.14 Å³ per cell. Its space group is C2/m (12). The value obtained for the calculated density is 10.3 g cm⁻³.